# Fe8Ni2Ge

Fe8Ni2Ge after structural relaxation (PBE, the Alexandria database).

## Properties
Space-group type: C2/m, No. 12
Crystal system: monoclinic
ΔE to the lowest computed polymorph in meV per atom: 0
ΔE_f in eV per atom: -0.017

Unit cell a=3.0520 b=6.1875 c=7.2436 alpha=104.73 beta=102.16 gamma=90.00
Last column: nearest neighbours and their distance in Å.
Sites, in units of the cell vectors:
Ni  0.2250  0.6360  0.4500  8 Fe 2.46-2.72, 2 Ni 2.51
Ni  0.7750  0.3640  0.5500  8 Fe 2.46-2.72, 2 Ni 2.51
Ge  0.5000  0.0000  0.0000  12 Fe 2.50-2.77
Fe  0.5912  0.4532  0.1825  2 Ni 2.47, 6 Fe 2.47-2.50
Fe  0.3182  0.0873  0.6364  7 Fe 2.47-2.74, 3 Ni 2.49-2.76, 1 Ge 2.76
Fe  0.1408  0.1888  0.2816  3 Ni 2.46-2.71, 5 Fe 2.47-2.74, 2 Ge 2.54
Fe  0.0466  0.7238  0.0933  7 Fe 2.47-2.74, 2 Ge 2.50, 1 Ni 2.72
Fe  0.8592  0.8112  0.7184  3 Ni 2.46-2.71, 5 Fe 2.47-2.74, 2 Ge 2.54
Fe  0.6818  0.9127  0.3636  7 Fe 2.47-2.74, 3 Ni 2.49-2.76, 1 Ge 2.76
Fe  0.4088  0.5468  0.8175  2 Ni 2.47, 6 Fe 2.47-2.50
Fe  0.9534  0.2762  0.9067  7 Fe 2.47-2.74, 2 Ge 2.50, 1 Ni 2.72



# Tb5CeNdSm2

Tb5CeNdSm2 after structural relaxation (PBE, the Alexandria database).

## Properties
Space-group type: I4/mcm, No. 140
Crystal system: tetragonal
ΔE_f in eV per atom: 0.268

Unit cell a=8.6889 b=8.6889 c=9.9298 alpha=115.95 beta=115.95 gamma=90.00
Last column: nearest neighbours and their distance in Å.
Sites, in units of the cell vectors:
Tb  0.9387  0.4387  0.2773  1 Ce 3.01, 1 Sm 3.09
Tb  0.6613  0.1613  0.7227  1 Ce 3.01, 1 Sm 3.09
Tb  0.0613  0.5613  0.7227  1 Ce 3.01, 1 Sm 3.09
Tb  0.1613  0.0613  0.7227  1 Ce 3.01, 1 Sm 3.09
Tb  0.5613  0.6613  0.7227  1 Ce 3.01, 1 Sm 3.09
Tb  0.8387  0.9387  0.2773  1 Ce 3.01, 1 Sm 3.09
Tb  0.4387  0.3387  0.2773  1 Ce 3.01, 1 Sm 3.09
Tb  0.3387  0.8387  0.2773  1 Ce 3.01, 1 Sm 3.09
Tb  0.5000  0.5000  0.0000  4 Sm 3.46, 8 Tb 3.81
Tb  0.0000  0.0000  0.0000  4 Sm 3.46, 8 Tb 3.81
Ce  0.2500  0.7500  0.5000  4 Tb 3.01
Ce  0.7500  0.2500  0.5000  4 Tb 3.01
Nd  0.2500  0.2500  0.5000  10 Tb 3.58-3.90
Nd  0.7500  0.7500  0.5000  10 Tb 3.58-3.90
Sm  0.1209  0.3791  0.0000  1 Sm 2.97, 2 Tb 3.09
Sm  0.6209  0.1209  0.0000  1 Sm 2.97, 2 Tb 3.09
Sm  0.3791  0.8791  0.0000  1 Sm 2.97, 2 Tb 3.09
Sm  0.8791  0.6209  0.0000  1 Sm 2.97, 2 Tb 3.09



# CeDy2CuSe5

CeDy2CuSe5 after structural relaxation (PBE, the Alexandria database).

## Properties
Space-group type: Cmc2_1, No. 36
Crystal system: orthorhombic
Total DFT energy (no corrections) in eV/atom: -5.5647

Unit cell a=3.9620 b=9.7730 c=11.6098 alpha=90.00 beta=90.00 gamma=101.69
Last column: nearest neighbours and their distance in Å.
Sites, in units of the cell vectors:
Ce  0.8045  0.6090  0.5087  6 Se 2.89-3.14, 2 Cu 3.21
Ce  0.1955  0.3910  0.0087  6 Se 2.89-3.14, 2 Cu 3.21
Dy  0.8891  0.7782  0.8096  7 Se 2.86-3.11
Dy  0.0900  0.1800  0.6831  7 Se 2.91-3.02
Dy  0.1109  0.2218  0.3096  7 Se 2.86-3.11
Dy  0.9100  0.8200  0.1831  7 Se 2.91-3.02
Cu  0.5682  0.1365  0.9506  4 Se 2.40-2.44
Cu  0.4318  0.8635  0.4506  4 Se 2.40-2.44
Se  0.3597  0.7195  0.0054  4 Dy 3.02-3.07, 1 Ce 3.14
Se  0.6709  0.3418  0.8261  1 Cu 2.44
Se  0.4958  0.9915  0.7820  1 Cu 2.40
Se  0.3022  0.6045  0.6957  2 Dy 2.90, 2 Ce 2.94
Se  0.9520  0.9041  0.5628  2 Cu 2.40
Se  0.6403  0.2805  0.5054  4 Dy 3.02-3.07, 1 Ce 3.14
Se  0.3291  0.6582  0.3261  1 Cu 2.44
Se  0.5042  0.0085  0.2820  1 Cu 2.40
Se  0.6978  0.3955  0.1957  2 Dy 2.90, 2 Ce 2.94
Se  0.0480  0.0959  0.0628  2 Cu 2.40



# LiCeH2

LiCeH2 after structural relaxation (PBE, the Alexandria database).

## Properties
Space-group type: R3m, No. 160
Crystal system: trigonal
ΔE to the lowest computed polymorph in meV per atom: 58

Unit cell a=3.0952 b=3.0952 c=6.1434 alpha=75.41 beta=75.41 gamma=60.00
Last column: nearest neighbours and their distance in Å.
Sites, in units of the cell vectors:
Li  0.6697  0.6697  0.9910  6 H 2.14-2.20
Ce  0.4973  0.4973  0.5082  6 H 2.45-2.51
H  0.0693  0.0693  0.7921  3 Li 2.14
H  0.2638  0.2638  0.2087  3 Li 2.20